(1)
First-principles (GGA-PBE) data for a geometry-optimized TaTl2Br structure, as listed in Alexandria via LeMat-Bulk.

Calculated values
- relative energy among the computed polymorphs (meV/atom) = 219
- space group = Cm, No. 8
- crystal system = monoclinic
- ΔE_f (raw) (meV/atom) = 284
- total magnetization (μB per formula unit) = 0.00

abc: 6.0649 6.0649 5.4847
angles: 107.41 107.41 30.43
Element x y z (fractional)
Ta  0.0000  0.0000  0.0000
Tl  0.5363  0.5363  0.4988
Tl  0.7431  0.7431  0.1502
Br  0.3237  0.3237  0.7268

***

(2)
First-principles (GGA-PBE) data for a geometry-optimized Ac5AlGe2 structure, as listed in Alexandria via LeMat-Bulk.

Calculated values
- space group = I4/mcm, No. 140
- ΔH_f (0 K) (meV per atom) = -454.0
- crystal system = tetragonal
- total magnetization (μB per formula unit) = 0.00

abc: 9.7203 9.7203 9.7203
angles: 128.55 128.55 75.73
Element x y z (fractional)
Ac  0.0000  0.0000  0.0000
Ac  0.0288  0.5288  0.8441
Ac  0.1847  0.0288  0.5000
Ac  0.3153  0.8153  0.8441
Ac  0.4712  0.3153  0.5000
Ac  0.5000  0.5000  0.0000
Ac  0.5288  0.6847  0.5000
Ac  0.6847  0.1847  0.1559
Ac  0.8153  0.9712  0.5000
Ac  0.9712  0.4712  0.1559
Al  0.2500  0.2500  0.0000
Al  0.7500  0.7500  0.0000
Ge  0.1252  0.3748  0.5000
Ge  0.3748  0.8748  0.2495
Ge  0.6252  0.1252  0.7505
Ge  0.8748  0.6252  0.5000

***

(3)
First-principles (GGA-PBE) data for a geometry-optimized Ac2Mg3Al structure, as listed in Alexandria via LeMat-Bulk.

Calculated values
- space group = R-3m, No. 166
- ΔH_f (0 K) (meV per atom) = -174.1
- crystal system = trigonal
- total magnetization (μB per formula unit) = 0.00

abc: 6.2952 6.2952 6.2952
angles: 58.74 58.74 58.74
Element x y z (fractional)
Ac  0.1296  0.1296  0.1296
Ac  0.8704  0.8704  0.8704
Mg  0.0000  0.5000  0.5000
Mg  0.5000  0.0000  0.5000
Mg  0.5000  0.5000  0.0000
Al  0.5000  0.5000  0.5000

***

(4)
First-principles (GGA-PBE) data for a geometry-optimized Tb4Mg3In structure, as listed in Alexandria via LeMat-Bulk.

Calculated values
- space group = R-3m, No. 166
- ΔH_f (0 K) (meV per atom) = -204.4
- crystal system = trigonal
- total magnetization (μB per formula unit) = 0.00

abc: 9.2972 9.2972 9.2972
angles: 33.47 33.47 33.47
Element x y z (fractional)
Tb  0.1247  0.1247  0.1247
Tb  0.3748  0.3748  0.3748
Tb  0.6252  0.6252  0.6252
Tb  0.8753  0.8753  0.8753
Mg  0.2476  0.2476  0.2476
Mg  0.5000  0.5000  0.5000
Mg  0.7524  0.7524  0.7524
In  0.0000  0.0000  0.0000

***

(5)
First-principles (GGA-PBE) data for a geometry-optimized LiCoHg4 structure, as listed in Alexandria via LeMat-Bulk.

Calculated values
- space group = F-43m, No. 216
- ΔH_f (0 K) (meV per atom) = 456.7
- crystal system = cubic
- total magnetization (μB per formula unit) = 1.73

abc: 5.7904 5.7904 5.7904
angles: 60.00 60.00 60.00
Element x y z (fractional)
Li  0.0000  0.0000  0.0000
Co  0.7500  0.7500  0.7500
Hg  0.3751  0.3751  0.3751
Hg  0.3751  0.3751  0.8747
Hg  0.3751  0.8747  0.3751
Hg  0.8747  0.3751  0.3751

***

(6)
First-principles (GGA-PBE) data for a geometry-optimized LuCdPbAu structure, as listed in Alexandria via LeMat-Bulk.

Calculated values
- space group = F-43m, No. 216
- ΔH_f (0 K) (meV per atom) = -345.4
- crystal system = cubic
- total magnetization (μB per formula unit) = 0.00

abc: 5.0914 5.0914 5.0914
angles: 60.00 60.00 60.00
Element x y z (fractional)
Lu  0.0000  0.0000  0.0000
Cd  0.5000  0.5000  0.5000
Pb  0.7500  0.7500  0.7500
Au  0.2500  0.2500  0.2500

***

(7)
First-principles (GGA-PBE) data for a geometry-optimized AlTlIn2 structure, as listed in Alexandria via LeMat-Bulk.

Calculated values
- relative energy among the computed polymorphs (meV/atom) = 59
- space group = Cm, No. 8
- ΔH_f (0 K) (meV per atom) = 152.8
- crystal system = monoclinic
- total magnetization (μB per formula unit) = 0.00

abc: 5.5962 5.5962 6.0000
angles: 97.93 97.93 33.69
Element x y z (fractional)
Al  0.0000  0.0000  0.0000
Tl  0.7479  0.7479  0.2562
In  0.2593  0.2593  0.7768
In  0.5060  0.5060  0.5203

***

(8)
First-principles (GGA-PBE) data for a geometry-optimized Li4CuAu5 structure, as listed in Alexandria via LeMat-Bulk.

Calculated values
- space group = P4/mmm, No. 123
- ΔH_f (0 K) (meV per atom) = -437.5
- crystal system = tetragonal
- total magnetization (μB per formula unit) = 0.00

abc: 3.1830 3.1830 15.1022
angles: 90.00 90.00 90.00
Element x y z (fractional)
Li  0.0000  0.0000  0.1004
Li  0.0000  0.0000  0.3012
Li  0.0000  0.0000  0.6988
Li  0.0000  0.0000  0.8996
Cu  0.0000  0.0000  0.5000
Au  0.5000  0.5000  0.0000
Au  0.5000  0.5000  0.2005
Au  0.5000  0.5000  0.3996
Au  0.5000  0.5000  0.6004
Au  0.5000  0.5000  0.7995

***

(9)
First-principles (GGA-PBE) data for a geometry-optimized Al3TlF structure, as listed in Alexandria via LeMat-Bulk.

Calculated values
- relative energy among the computed polymorphs (meV/atom) = 727
- space group = Pm-3m, No. 221
- crystal system = cubic
- ΔE_f (raw) (meV/atom) = 563
- total magnetization (μB per formula unit) = 0.00

abc: 5.4242 5.4242 5.4242
angles: 90.00 90.00 90.00
Element x y z (fractional)
Al  0.0000  0.0000  0.5000
Al  0.0000  0.5000  0.0000
Al  0.5000  0.0000  0.0000
Tl  0.0000  0.0000  0.0000
F  0.5000  0.5000  0.5000

***

(10)
First-principles (GGA-PBE) data for a geometry-optimized Nd6MgGe2S14 structure, as listed in Alexandria via LeMat-Bulk.

Calculated values
- space group = P3, No. 143
- crystal system = trigonal
- ΔE_f (raw) (meV/atom) = -1591
- total magnetization (μB per formula unit) = 0.00

abc: 10.2501 10.2501 5.7910
angles: 90.00 90.00 120.00
Element x y z (fractional)
Nd  0.0232  0.4595  0.0000
Nd  0.3096  0.2076  0.4939
Nd  0.4363  0.9768  0.0000
Nd  0.5405  0.5637  0.0000
Nd  0.7924  0.1020  0.4939
Nd  0.8980  0.6904  0.4939
Mg  0.6667  0.3333  0.7297
Ge  0.0000  0.0000  0.0758
Ge  0.3333  0.6667  0.5849
S  0.0000  0.0000  0.6974
S  0.0798  0.2282  0.2325
S  0.1484  0.9202  0.2325
S  0.1853  0.7473  0.7391
S  0.2527  0.4380  0.7391
S  0.3333  0.6667  0.2057
S  0.4192  0.2443  0.9678
S  0.5056  0.0857  0.4899
S  0.5620  0.8147  0.7391
S  0.5801  0.4944  0.4899
S  0.7557  0.1749  0.9678
S  0.7718  0.8516  0.2325
S  0.8251  0.5808  0.9678
S  0.9143  0.4199  0.4899

***

(11)
First-principles (GGA-PBE) data for a geometry-optimized MgCd2Pd3 structure, as listed in Alexandria via LeMat-Bulk.

Calculated values
- relative energy among the computed polymorphs (meV/atom) = 0
- space group = P4/mmm, No. 123
- ΔH_f (0 K) (meV per atom) = -517.3
- crystal system = tetragonal
- total magnetization (μB per formula unit) = 0.00

abc: 3.3246 3.3246 9.2663
angles: 90.00 90.00 90.00
Element x y z (fractional)
Mg  0.0000  0.0000  0.0000
Cd  0.0000  0.0000  0.3305
Cd  0.0000  0.0000  0.6695
Pd  0.5000  0.5000  0.1590
Pd  0.5000  0.5000  0.5000
Pd  0.5000  0.5000  0.8410

***

(12)
First-principles (GGA-PBE) data for a geometry-optimized Sm5ErTm2Th structure, as listed in Alexandria via LeMat-Bulk.

Calculated values
- space group = Cmc2_1, No. 36
- ΔH_f (0 K) (meV per atom) = 158.5
- crystal system = orthorhombic
- total magnetization (μB per formula unit) = 0.00

abc: 10.5377 10.5377 10.5599
angles: 90.00 90.00 149.22
Element x y z (fractional)
Sm  0.0137  0.9863  0.5000
Sm  0.2766  0.7234  0.7933
Sm  0.2941  0.7059  0.1864
Sm  0.3858  0.6142  0.5060
Sm  0.4816  0.5184  0.2256
Sm  0.5184  0.4816  0.7256
Sm  0.6142  0.3858  0.0060
Sm  0.7059  0.2941  0.6864
Sm  0.7234  0.2766  0.2933
Sm  0.9863  0.0137  0.0000
Er  0.4060  0.5940  0.9403
Er  0.5940  0.4060  0.4403
Tm  0.1118  0.8882  0.2209
Tm  0.1145  0.8855  0.7905
Tm  0.8855  0.1145  0.2905
Tm  0.8882  0.1118  0.7209
Th  0.1990  0.8010  0.4934
Th  0.8010  0.1990  0.9934

***

Quick rundown of E_tot, same order as above: -17.123 -74.304 -17.788 -27.679 -7.487 -13.804 -10.974 -32.513 -12.652 -133.806 -22.107 -86.189 eV for the cell shown